[1]
# Ba2CdPtC

A relaxed Ba2CdPtC crystal (PBE, Alexandria).

Calculated values
For the magnetization, the calculation gives 0.000 μB per atom. The energy is -4.24 eV/atom. Its calculated volume is 142 Å³ per cell.

Cell: 6.036 6.036 3.912 Å, 90.00 90.00 90.00°
Element x y z (fractional)
1 Ba 0.000 0.500 0.000
2 Ba 0.500 0.000 0.000
3 Cd 0.000 0.000 0.500
4 Pt 0.500 0.500 0.500
5 C 0.500 0.500 0.000

---

[2]
# MnGaSb2I

A relaxed MnGaSb2I crystal (PBE, Alexandria).

Calculated values
For the uncorrected formation energy, the calculation gives 307 meV/atom. The energy above the lowest structure with this stoichiometry is 0 meV per atom. For the magnetization, the calculation gives 0.543 μB per atom. The energy is -4.09 eV/atom. Its calculated volume is 159 Å³ per cell.

Cell: 5.008 5.008 6.334 Å, 90.00 90.00 90.00°
Element x y z (fractional)
1 Mn 0.000 0.000 0.000
2 Ga 0.500 0.500 0.500
3 Sb 0.000 0.500 0.000
4 Sb 0.500 0.000 0.000
5 I 0.000 0.000 0.500

---

[3]
# BaTiTl2F8

A relaxed BaTiTl2F8 crystal (PBE, Alexandria).

Calculated values
For the uncorrected formation energy, the calculation gives -2990 meV/atom. For the magnetization, the calculation gives 0.000 μB per atom. The energy is -5.45 eV/atom. Its calculated volume is 236 Å³ per cell.

Cell: 4.730 7.756 6.438 Å, 90.00 94.07 90.00°
Element x y z (fractional)
1 Ba 0.000 0.000 0.000
2 Ti 0.000 0.500 0.000
3 Tl 0.500 0.263 0.500
4 Tl 0.500 0.737 0.500
5 F 0.114 0.317 0.822
6 F 0.114 0.683 0.822
7 F 0.341 0.500 0.163
8 F 0.478 0.000 0.240
9 F 0.522 0.000 0.760
10 F 0.659 0.500 0.837
11 F 0.886 0.317 0.178
12 F 0.886 0.683 0.178

---

[4]
# NdSmDyZn

A relaxed NdSmDyZn crystal (PBE, Alexandria).

Calculated values
The energy above the lowest structure with this stoichiometry is 0 meV per atom. For the magnetization, the calculation gives 0.000 μB per atom. The energy is -4.00 eV/atom. Its calculated volume is 115 Å³ per cell.

Cell: 3.623 3.623 8.755 Å, 90.00 90.00 90.00°
Element x y z (fractional)
1 Nd 0.000 0.000 0.000
2 Sm 0.500 0.500 0.700
3 Dy 0.500 0.500 0.292
4 Zn 0.000 0.000 0.487

---

[5]
# YH2NCl

A relaxed YH2NCl crystal (PBE, Alexandria).

Calculated values
For the magnetization, the calculation gives 0.000 μB per atom. The energy is -4.02 eV/atom. Its calculated volume is 67 Å³ per cell.

Cell: 3.591 3.591 5.212 Å, 90.00 90.00 90.00°
Element x y z (fractional)
1 Y 0.000 0.000 0.000
2 H 0.000 0.500 0.500
3 H 0.500 0.000 0.500
4 N 0.500 0.500 0.500
5 Cl 0.500 0.500 0.000

---

[6]
# Sr3Sb3Au8

A relaxed Sr3Sb3Au8 crystal (PBE, Alexandria).

Calculated values
For the uncorrected formation energy, the calculation gives -553 meV/atom. For the magnetization, the calculation gives 0.000 μB per atom. The energy is -3.67 eV/atom. Its calculated volume is 339 Å³ per cell.

Cell: 8.924 8.924 9.906 Å, 122.15 122.15 31.02°
Element x y z (fractional)
1 Sr 0.000 0.000 0.000
2 Sr 0.303 0.303 0.283
3 Sr 0.697 0.697 0.717
4 Sb 0.000 0.000 0.500
5 Sb 0.333 0.333 0.695
6 Sb 0.667 0.667 0.305
7 Au 0.130 0.130 0.856
8 Au 0.140 0.140 0.424
9 Au 0.341 0.341 0.976
10 Au 0.499 0.499 0.695
11 Au 0.501 0.501 0.305
12 Au 0.659 0.659 0.024
13 Au 0.860 0.860 0.576
14 Au 0.870 0.870 0.144

---

[7]
# HfZn3Co

A relaxed HfZn3Co crystal (PBE, Alexandria).

Calculated values
The energy above the lowest structure with this stoichiometry is 558 meV per atom. For the magnetization, the calculation gives 0.074 μB per atom. The energy is -3.83 eV/atom. Its calculated volume is 86 Å³ per cell.

Cell: 4.414 4.414 4.414 Å, 90.00 90.00 90.00°
Element x y z (fractional)
1 Hf 0.000 0.000 0.000
2 Zn 0.000 0.500 0.500
3 Zn 0.500 0.000 0.500
4 Zn 0.500 0.500 0.000
5 Co 0.500 0.500 0.500

---

[8]
# ErMg4Tl2

A relaxed ErMg4Tl2 crystal (PBE, Alexandria).

Calculated values
For the magnetization, the calculation gives 0.000 μB per atom. The energy is -2.32 eV/atom. Its calculated volume is 345 Å³ per cell.

Cell: 8.713 8.713 4.545 Å, 90.00 90.00 90.00°
Element x y z (fractional)
1 Er 0.000 0.000 0.000
2 Er 0.500 0.500 0.500
3 Mg 0.103 0.349 0.500
4 Mg 0.151 0.603 0.000
5 Mg 0.349 0.103 0.500
6 Mg 0.397 0.849 0.000
7 Mg 0.603 0.151 0.000
8 Mg 0.651 0.897 0.500
9 Mg 0.849 0.397 0.000
10 Mg 0.897 0.651 0.500
11 Tl 0.188 0.812 0.500
12 Tl 0.312 0.312 0.000
13 Tl 0.688 0.688 0.000
14 Tl 0.812 0.188 0.500

---

[9]
# TlAgSn

A relaxed TlAgSn crystal (PBE, Alexandria).

Calculated values
The energy above the lowest structure with this stoichiometry is 114 meV per atom. For the magnetization, the calculation gives 0.000 μB per atom. The energy is -2.93 eV/atom. Its calculated volume is 153 Å³ per cell.

Cell: 4.338 4.338 8.152 Å, 90.00 90.00 90.00°
Element x y z (fractional)
1 Tl 0.250 0.750 0.000
2 Tl 0.750 0.250 0.000
3 Ag 0.250 0.250 0.285
4 Ag 0.750 0.750 0.715
5 Sn 0.250 0.250 0.627
6 Sn 0.750 0.750 0.373

---

[10]
# LaTl2Cr

A relaxed LaTl2Cr crystal (PBE, Alexandria).

Calculated values
For the magnetization, the calculation gives 0.930 μB per atom. The energy is -4.44 eV/atom. Its calculated volume is 111 Å³ per cell.

Cell: 10.521 10.521 10.521 Å, 19.29 19.29 19.29°
Element x y z (fractional)
1 La 0.000 0.000 0.000
2 Tl 0.239 0.239 0.239
3 Tl 0.485 0.485 0.485
4 Cr 0.746 0.746 0.746